(1)
Here is a geometry-optimized TlIrPt2 structure from Alexandria. Energies are from PBEsol.

a = 2.8354 Å, b = 4.6787 Å, c = 4.8958 Å
α = 90.00°, β = 89.99°, γ = 90.00°
With the nearest neighbours (Å) after each atom.
Fractional positions:
Ir  0.3749  0.5000  0.1722  8 Pt 2.72-2.94, 2 Ir 2.84, 2 Tl 3.01
Pt  0.8749  0.0000  0.0697  4 Ir 2.78, 4 Tl 2.79-2.87, 4 Pt 2.84-2.96
Pt  0.8751  0.5000  0.6985  4 Ir 2.72-2.94, 4 Tl 2.82, 4 Pt 2.84-2.96
Tl  0.3750  0.0000  0.5596  8 Pt 2.79-2.87, 2 Tl 2.84, 2 Ir 3.01

- crystal system = orthorhombic
- energy of formation (eV per atom) = 0.22
- energy above the lowest structure with this stoichiometry (eV per atom) = 0.000
- N(E_F) (states/eV/f.u.) = 3.225
- symmetry = Pmm2

---

(2)
Here is a geometry-optimized TlIrPt2 structure from Alexandria. Energies are from PBEsol.

a = 2.8024 Å, b = 4.8583 Å, c = 5.5690 Å
α = 115.86°, β = 104.57°, γ = 90.00°
With the nearest neighbours (Å) after each atom.
Fractional positions:
Ir  0.2574  0.7574  0.5147  6 Pt 2.68-2.81, 2 Ir 2.80, 2 Tl 2.82
Pt  0.9945  0.9945  0.9890  2 Ir 2.68, 4 Pt 2.79-2.80, 4 Tl 2.81
Pt  0.7448  0.2448  0.4897  4 Pt 2.79-2.80, 4 Ir 2.81, 2 Tl 2.85
Tl  0.5033  0.5033  0.0066  2 Tl 2.80, 6 Pt 2.81-2.85, 2 Ir 2.82

- crystal system = orthorhombic
- energy of formation (eV per atom) = 0.26
- energy above the lowest structure with this stoichiometry (eV per atom) = 0.040
- N(E_F) (states/eV/f.u.) = 3.000
- symmetry = Imm2

---

(3)
Here is a geometry-optimized IrPt2W structure from Alexandria. Energies are from PBEsol.

a = 2.7424 Å, b = 3.9002 Å, c = 5.5332 Å
α = 90.00°, β = 90.00°, γ = 90.00°
With the nearest neighbours (Å) after each atom.
Fractional positions:
Ir  0.5000  0.5000  0.7403  6 Pt 2.70-2.84, 4 W 2.71, 2 Ir 2.74
W  0.0000  0.0000  0.5082  4 Ir 2.71, 6 Pt 2.71-2.82, 2 W 2.74
Pt  0.0000  0.0000  0.9983  2 W 2.71-2.82, 6 Pt 2.74-2.77, 4 Ir 2.78
Pt  0.5000  0.5000  0.2532  2 Ir 2.70-2.84, 6 Pt 2.74-2.77, 4 W 2.77

- crystal system = orthorhombic
- energy of formation (eV per atom) = -0.24
- energy above the lowest structure with this stoichiometry (eV per atom) = 0.011
- N(E_F) (states/eV/f.u.) = 2.863
- symmetry = Pmm2

---

(4)
Here is a geometry-optimized IrPtW structure from Alexandria. Energies are from PBEsol.

a = 2.7465 Å, b = 3.8744 Å, c = 4.7889 Å
α = 113.86°, β = 106.66°, γ = 90.00°
With the nearest neighbours (Å) after each atom.
Fractional positions:
Ir  0.0053  0.0053  0.0105  5 W 2.71-2.85, 5 Pt 2.72-2.78, 2 Ir 2.75
W  0.6624  0.6624  0.3249  5 Ir 2.71-2.85, 5 Pt 2.75-2.76, 2 W 2.75
Pt  0.3323  0.3323  0.6646  5 Ir 2.72-2.78, 5 W 2.75-2.76, 2 Pt 2.75

- crystal system = orthorhombic
- energy of formation (eV per atom) = -0.31
- N(E_F) (states/eV/f.u.) = 1.976
- symmetry = Imm2

---

(5)
Here is a geometry-optimized IrPtW2 structure from Alexandria. Energies are from PBEsol.

a = 2.7290 Å, b = 3.9991 Å, c = 5.4577 Å
α = 90.00°, β = 90.00°, γ = 90.00°
With the nearest neighbours (Å) after each atom.
Fractional positions:
Ir  0.5000  0.5000  0.0000  2 Pt 2.73, 2 Ir 2.73, 8 W 2.76
Pt  0.5000  0.5000  0.5000  2 Ir 2.73, 2 Pt 2.73, 8 W 2.80
W  0.0000  0.0000  0.7569  4 W 2.65-2.80, 4 Ir 2.76, 4 Pt 2.80
W  0.0000  0.0000  0.2431  4 W 2.65-2.80, 4 Ir 2.76, 4 Pt 2.80

- crystal system = orthorhombic
- energy of formation (eV per atom) = -0.26
- energy above the lowest structure with this stoichiometry (eV per atom) = 0.041
- N(E_F) (states/eV/f.u.) = 1.838
- symmetry = Pmmm

---

(6)
Here is a geometry-optimized IrPtW2 structure from Alexandria. Energies are from PBEsol.

a = 3.8523 Å, b = 3.8523 Å, c = 4.8445 Å
α = 113.43°, β = 113.43°, γ = 90.00°
With the nearest neighbours (Å) after each atom.
Fractional positions:
Ir  0.5000  0.5000  0.0000  4 Pt 2.72, 8 W 2.78
W  0.7500  0.2500  0.5000  4 W 2.72, 4 Ir 2.78, 4 Pt 2.78
W  0.2500  0.7500  0.5000  4 W 2.72, 4 Ir 2.78, 4 Pt 2.78
Pt  0.0000  0.0000  0.0000  4 Ir 2.72, 8 W 2.78

- crystal system = tetragonal
- energy of formation (eV per atom) = -0.26
- energy above the lowest structure with this stoichiometry (eV per atom) = 0.048
- N(E_F) (states/eV/f.u.) = 1.874
- symmetry = I4/mmm

---

(7)
Here is a geometry-optimized IrPt2W structure from Alexandria. Energies are from PBEsol.

a = 3.8990 Å, b = 3.8990 Å, c = 4.7629 Å
α = 114.16°, β = 114.16°, γ = 90.00°
With the nearest neighbours (Å) after each atom.
Fractional positions:
Ir  0.2500  0.7500  0.5000  8 Pt 2.75-2.76, 4 W 2.75
W  0.0000  0.0000  0.0000  8 Pt 2.75-2.76, 4 Ir 2.75
Pt  0.5000  0.5000  0.0000  4 Pt 2.75, 4 Ir 2.75, 4 W 2.76
Pt  0.7500  0.2500  0.5000  4 W 2.75, 4 Pt 2.75, 4 Ir 2.76

- crystal system = tetragonal
- energy of formation (eV per atom) = -0.25
- energy above the lowest structure with this stoichiometry (eV per atom) = 0.000
- N(E_F) (states/eV/f.u.) = 2.959
- symmetry = I-4m2

---

(8)
Here is a geometry-optimized Ir2PtW structure from Alexandria. Energies are from PBEsol.

a = 3.3430 Å, b = 3.3430 Å, c = 5.3729 Å
α = 90.00°, β = 90.00°, γ = 90.00°
With the nearest neighbours (Å) after each atom.
Fractional positions:
Ir  0.0000  0.0000  0.0029  2 Pt 2.64-2.73, 4 Ir 2.69, 4 W 2.70
Ir  0.5000  0.5000  0.2407  2 W 2.57-2.80, 4 Ir 2.69, 4 Pt 2.73
Pt  0.0000  0.0000  0.4949  6 Ir 2.64-2.73, 4 W 2.76
W  0.5000  0.5000  0.7616  6 Ir 2.57-2.80, 4 Pt 2.76

- crystal system = tetragonal
- energy of formation (eV per atom) = 0.11
- energy above the lowest structure with this stoichiometry (eV per atom) = 0.238
- N(E_F) (states/eV/f.u.) = 3.599
- symmetry = P4mm

---

(9)
Here is a geometry-optimized IrPtW2 structure from Alexandria. Energies are from PBEsol.

a = 4.4130 Å, b = 4.4130 Å, c = 4.4130 Å
α = 60.00°, β = 60.00°, γ = 60.00°
With the nearest neighbours (Å) after each atom.
Fractional positions:
Ir  0.5000  0.5000  0.5000  4 W 2.70, 4 Pt 2.70
Pt  0.2500  0.2500  0.2500  4 W 2.70, 4 Ir 2.70
W  0.0000  0.0000  0.0000  4 W 2.70, 4 Pt 2.70
W  0.7500  0.7500  0.7500  4 W 2.70, 4 Ir 2.70

- crystal system = cubic
- energy of formation (eV per atom) = 0.13
- energy above the lowest structure with this stoichiometry (eV per atom) = 0.432
- N(E_F) (states/eV/f.u.) = 3.917
- symmetry = F-43m

---

(10)
Here is a geometry-optimized IrPtW2 structure from Alexandria. Energies are from PBEsol.

a = 2.7246 Å, b = 2.7246 Å, c = 8.0227 Å
α = 90.00°, β = 90.00°, γ = 90.00°
With the nearest neighbours (Å) after each atom.
Fractional positions:
Ir  0.5000  0.5000  0.0000  4 Ir 2.72, 8 W 2.75
W  0.0000  0.0000  0.7559  4 W 2.72, 4 Ir 2.75, 4 Pt 2.82
W  0.0000  0.0000  0.2441  4 W 2.72, 4 Ir 2.75, 4 Pt 2.82
Pt  0.5000  0.5000  0.5000  4 Pt 2.72, 8 W 2.82

- crystal system = tetragonal
- energy of formation (eV per atom) = -0.26
- energy above the lowest structure with this stoichiometry (eV per atom) = 0.045
- N(E_F) (states/eV/f.u.) = 1.803
- symmetry = P4/mmm

---

(11)
Here is a geometry-optimized IrPtW2 structure from Alexandria. Energies are from PBEsol.

a = 3.2864 Å, b = 3.2864 Å, c = 5.6536 Å
α = 90.00°, β = 90.00°, γ = 90.00°
With the nearest neighbours (Å) after each atom.
Fractional positions:
Ir  0.0000  0.0000  0.4899  6 W 2.64-2.83, 4 Pt 2.76
Pt  0.5000  0.5000  0.7529  6 W 2.68-2.91, 4 Ir 2.76
W  0.0000  0.0000  0.9899  4 Pt 2.68, 4 W 2.80, 2 Ir 2.83
W  0.5000  0.5000  0.2672  4 Ir 2.64, 2 Pt 2.75-2.91, 4 W 2.80

- crystal system = tetragonal
- energy of formation (eV per atom) = 0.00
- energy above the lowest structure with this stoichiometry (eV per atom) = 0.302
- N(E_F) (states/eV/f.u.) = 2.837
- symmetry = P4mm

---

(12)
Here is a geometry-optimized IrPt2W structure from Alexandria. Energies are from PBEsol.

a = 2.7266 Å, b = 2.7266 Å, c = 7.9641 Å
α = 90.00°, β = 90.00°, γ = 90.00°
With the nearest neighbours (Å) after each atom.
Fractional positions:
Ir  0.5000  0.5000  0.5000  4 Ir 2.73, 8 Pt 2.79
Pt  0.0000  0.0000  0.7536  4 Pt 2.73, 4 W 2.75, 4 Ir 2.79
Pt  0.0000  0.0000  0.2464  4 Pt 2.73, 4 W 2.75, 4 Ir 2.79
W  0.5000  0.5000  0.0000  4 W 2.73, 8 Pt 2.75

- crystal system = tetragonal
- energy of formation (eV per atom) = -0.07
- energy above the lowest structure with this stoichiometry (eV per atom) = 0.179
- N(E_F) (states/eV/f.u.) = 5.141
- symmetry = P4/mmm